The following is a PBE calculation of a geometry-optimized CsLaY3 structure, from the Alexandria database.

Cell: 6.025 6.025 6.025 Å, 90.00 90.00 90.00°
Sites, in units of the cell vectors:
Y: 0.000 0.500 0.000
Y: 0.500 0.000 0.000
Y: 0.000 0.000 0.500
La: 0.000 0.000 0.000
Cs: 0.500 0.500 0.500

The distance to the lowest polymorph of the same formula is 0 meV per atom. Its crystal system is cubic. The value obtained for the calculated volume is 43.74 A^3/atom. The formation energy comes out at 3.89 eV/f.u. The total DFT energy (no corrections) comes out at -21.279 eV per cell.